Below is a relaxed structure of TbHo2Os, with properties calculated at the PBE level.

a = 6.320 Å, b = 7.398 Å, c = 9.027 Å
α = 90.00°, β = 90.00°, γ = 90.00°
Positions (direct):
Tb1 0.628 0.539 0.250
Tb2 0.872 0.039 0.250
Tb3 0.372 0.461 0.750
Tb4 0.128 0.961 0.750
Ho1 0.166 0.674 0.063
Ho2 0.334 0.174 0.437
Ho3 0.834 0.326 0.563
Ho4 0.666 0.826 0.937
Ho5 0.834 0.326 0.937
Ho6 0.666 0.826 0.563
Ho7 0.166 0.674 0.437
Ho8 0.334 0.174 0.063
Os1 0.041 0.383 0.250
Os2 0.459 0.883 0.250
Os3 0.959 0.617 0.750
Os4 0.541 0.117 0.750

## Properties
ρ = 10.7 Mg/m³
SG = Pnma, No. 62
Formation energy = -1.06 eV per formula unit
V = 26.4 Å³/atom
Raw total energy = -104.29 eV for the cell shown
Offset from the most stable computed form = 0.000 eV per atom